Density functional theory data (PBE) for a geometry-optimized SrSe2S6 structure.

```
data_SrSe2S6
_space_group_name_H-M_alt 'P 1'
_space_group_IT_number 1
_cell_length_a 4.8922
_cell_length_b 6.8501
_cell_length_c 8.9094
_cell_angle_alpha 102.34
_cell_angle_beta 101.26
_cell_angle_gamma 91.37
loop_
_space_group_symop_operation_xyz
'x,y,z'
loop_
_atom_site_label
_atom_site_type_symbol
_atom_site_fract_x
_atom_site_fract_y
_atom_site_fract_z
_atom_site_occupancy
Sr1 Sr 0.0000 0.0000 0.0000 1
Se1 Se 0.4494 0.1506 0.8222 1
Se2 Se 0.5506 0.8494 0.1778 1
S1 S 0.1383 0.4217 0.5747 1
S2 S 0.2724 0.6328 0.7739 1
S3 S 0.4533 0.1574 0.2847 1
S4 S 0.5467 0.8426 0.7153 1
S5 S 0.7276 0.3672 0.2261 1
S6 S 0.8617 0.5783 0.4253 1
```

Output
electronic total energy: -36.12 eV for the cell shown
mass density: 2.5 g/cm³
symmetry: P-1 (2)


Density functional theory data (PBE) for a geometry-optimized Cu3Ni3Pt structure.

```
data_Cu3Ni3Pt
_space_group_name_H-M_alt 'P 1'
_space_group_IT_number 1
_cell_length_a 6.7876
_cell_length_b 6.7876
_cell_length_c 4.2433
_cell_angle_alpha 90.00
_cell_angle_beta 90.00
_cell_angle_gamma 120.00
loop_
_space_group_symop_operation_xyz
'x,y,z'
loop_
_atom_site_label
_atom_site_type_symbol
_atom_site_fract_x
_atom_site_fract_y
_atom_site_fract_z
_atom_site_occupancy
Cu1 Cu 0.0423 0.8095 0.2500 1
Cu2 Cu 0.1905 0.2328 0.2500 1
Cu3 Cu 0.2328 0.0423 0.7500 1
Cu4 Cu 0.7672 0.9577 0.2500 1
Cu5 Cu 0.8095 0.7672 0.7500 1
Cu6 Cu 0.9577 0.1905 0.7500 1
Ni1 Ni 0.0971 0.6165 0.7500 1
Ni2 Ni 0.3835 0.4806 0.7500 1
Ni3 Ni 0.4806 0.0971 0.2500 1
Ni4 Ni 0.5194 0.9029 0.7500 1
Ni5 Ni 0.6165 0.5194 0.2500 1
Ni6 Ni 0.9029 0.3835 0.2500 1
Pt1 Pt 0.3333 0.6667 0.2500 1
Pt2 Pt 0.6667 0.3333 0.7500 1
```

Output
electronic total energy: -71.69 eV for the cell shown
ΔH_f (0 K): -0.025 eV/atom
mass density: 11.0 g/cm³
symmetry: P6_3/m (176)


Density functional theory data (PBE) for a geometry-optimized Cs5Hg3I12 structure.

```
data_Cs5Hg3I12
_space_group_name_H-M_alt 'P 1'
_space_group_IT_number 1
_cell_length_a 18.3302
_cell_length_b 18.3302
_cell_length_c 18.3302
_cell_angle_alpha 109.47
_cell_angle_beta 109.47
_cell_angle_gamma 109.47
loop_
_space_group_symop_operation_xyz
'x,y,z'
loop_
_atom_site_label
_atom_site_type_symbol
_atom_site_fract_x
_atom_site_fract_y
_atom_site_fract_z
_atom_site_occupancy
Cs1 Cs 0.0000 0.0000 0.0000 1
Cs2 Cs 0.0000 0.0000 0.5000 1
Cs3 Cs 0.0000 0.5000 0.0000 1
Cs4 Cs 0.0000 0.5000 0.5000 1
Cs5 Cs 0.1250 0.7500 0.8750 1
Cs6 Cs 0.1250 0.8750 0.2500 1
Cs7 Cs 0.2500 0.1250 0.8750 1
Cs8 Cs 0.2500 0.6250 0.3750 1
Cs9 Cs 0.3750 0.2500 0.6250 1
Cs10 Cs 0.3750 0.6250 0.7500 1
Cs11 Cs 0.5000 0.0000 0.0000 1
Cs12 Cs 0.5000 0.0000 0.5000 1
Cs13 Cs 0.5000 0.5000 0.0000 1
Cs14 Cs 0.5000 0.5000 0.5000 1
Cs15 Cs 0.6250 0.3750 0.2500 1
Cs16 Cs 0.6250 0.7500 0.3750 1
Cs17 Cs 0.7500 0.3750 0.6250 1
Cs18 Cs 0.7500 0.8750 0.1250 1
Cs19 Cs 0.8750 0.1250 0.7500 1
Cs20 Cs 0.8750 0.2500 0.1250 1
Hg1 Hg 0.1250 0.2500 0.3750 1
Hg2 Hg 0.1250 0.3750 0.7500 1
Hg3 Hg 0.2500 0.3750 0.1250 1
Hg4 Hg 0.2500 0.8750 0.6250 1
Hg5 Hg 0.3750 0.1250 0.2500 1
Hg6 Hg 0.3750 0.7500 0.1250 1
Hg7 Hg 0.6250 0.2500 0.8750 1
Hg8 Hg 0.6250 0.8750 0.7500 1
Hg9 Hg 0.7500 0.1250 0.3750 1
Hg10 Hg 0.7500 0.6250 0.8750 1
Hg11 Hg 0.8750 0.6250 0.2500 1
Hg12 Hg 0.8750 0.7500 0.6250 1
I1 I 0.0321 0.6263 0.3728 1
I2 I 0.0321 0.9058 0.6592 1
I3 I 0.0942 0.2534 0.1263 1
I4 I 0.0942 0.3408 0.9679 1
I5 I 0.1263 0.0942 0.2534 1
I6 I 0.1263 0.5321 0.8728 1
I7 I 0.1272 0.7534 0.6592 1
I8 I 0.1272 0.8737 0.4679 1
I9 I 0.1592 0.2534 0.6272 1
I10 I 0.1592 0.4058 0.5321 1
I11 I 0.2466 0.3408 0.8728 1
I12 I 0.2466 0.4058 0.3737 1
I13 I 0.2534 0.1263 0.0942 1
I14 I 0.2534 0.6272 0.1592 1
I15 I 0.3408 0.8728 0.2466 1
I16 I 0.3408 0.9679 0.0942 1
I17 I 0.3728 0.0321 0.6263 1
I18 I 0.3728 0.8408 0.7466 1
I19 I 0.3737 0.2466 0.4058 1
I20 I 0.3737 0.6272 0.9679 1
I21 I 0.4058 0.3737 0.2466 1
I22 I 0.4058 0.5321 0.1592 1
I23 I 0.4679 0.1272 0.8737 1
I24 I 0.4679 0.8408 0.5942 1
I25 I 0.5321 0.1592 0.4058 1
I26 I 0.5321 0.8728 0.1263 1
I27 I 0.5942 0.4679 0.8408 1
I28 I 0.5942 0.6263 0.7534 1
I29 I 0.6263 0.3728 0.0321 1
I30 I 0.6263 0.7534 0.5942 1
I31 I 0.6272 0.1592 0.2534 1
I32 I 0.6272 0.9679 0.3737 1
I33 I 0.6592 0.0321 0.9058 1
I34 I 0.6592 0.1272 0.7534 1
I35 I 0.7466 0.3728 0.8408 1
I36 I 0.7466 0.8737 0.9058 1
I37 I 0.7534 0.5942 0.6263 1
I38 I 0.7534 0.6592 0.1272 1
I39 I 0.8408 0.5942 0.4679 1
I40 I 0.8408 0.7466 0.3728 1
I41 I 0.8728 0.1263 0.5321 1
I42 I 0.8728 0.2466 0.3408 1
I43 I 0.8737 0.4679 0.1272 1
I44 I 0.8737 0.9058 0.7466 1
I45 I 0.9058 0.6592 0.0321 1
I46 I 0.9058 0.7466 0.8737 1
I47 I 0.9679 0.0942 0.3408 1
I48 I 0.9679 0.3737 0.6272 1
```

Output
electronic total energy: -148.19 eV for the cell shown
mass density: 3.9 g/cm³
symmetry: Ia-3d (230)


Density functional theory data (PBE) for a geometry-optimized Rb2ZnI4 structure.

```
data_Rb2ZnI4
_space_group_name_H-M_alt 'P 1'
_space_group_IT_number 1
_cell_length_a 5.8733
_cell_length_b 5.8733
_cell_length_c 17.9505
_cell_angle_alpha 90.00
_cell_angle_beta 90.00
_cell_angle_gamma 90.00
loop_
_space_group_symop_operation_xyz
'x,y,z'
loop_
_atom_site_label
_atom_site_type_symbol
_atom_site_fract_x
_atom_site_fract_y
_atom_site_fract_z
_atom_site_occupancy
Rb1 Rb 0.0000 0.0000 0.1360 1
Rb2 Rb 0.0000 0.0000 0.8640 1
Rb3 Rb 0.5000 0.5000 0.3640 1
Rb4 Rb 0.5000 0.5000 0.6360 1
Zn1 Zn 0.0000 0.0000 0.5000 1
Zn2 Zn 0.5000 0.5000 0.0000 1
I1 I 0.0000 0.0000 0.3439 1
I2 I 0.0000 0.0000 0.6561 1
I3 I 0.0000 0.5000 0.0000 1
I4 I 0.0000 0.5000 0.5000 1
I5 I 0.5000 0.0000 0.0000 1
I6 I 0.5000 0.0000 0.5000 1
I7 I 0.5000 0.5000 0.1561 1
I8 I 0.5000 0.5000 0.8439 1
```

Output
electronic total energy: -33.03 eV for the cell shown
distance to the lowest polymorph of the same formula: 0.118 eV per atom
mass density: 4.0 g/cm³
symmetry: I4/mmm (139)


Density functional theory data (PBE) for a geometry-optimized Er2GaIr structure.

```
data_Er2GaIr
_space_group_name_H-M_alt 'P 1'
_space_group_IT_number 1
_cell_length_a 3.4954
_cell_length_b 3.4954
_cell_length_c 6.8999
_cell_angle_alpha 90.00
_cell_angle_beta 90.00
_cell_angle_gamma 90.00
loop_
_space_group_symop_operation_xyz
'x,y,z'
loop_
_atom_site_label
_atom_site_type_symbol
_atom_site_fract_x
_atom_site_fract_y
_atom_site_fract_z
_atom_site_occupancy
Er1 Er 0.0000 0.0000 0.2333 1
Er2 Er 0.0000 0.0000 0.7667 1
Ga1 Ga 0.5000 0.5000 0.5000 1
Ir1 Ir 0.5000 0.5000 0.0000 1
```

Output
electronic total energy: -24.05 eV for the cell shown
ΔH_f (0 K): -0.760 eV/atom
mass density: 11.7 g/cm³
symmetry: P4/mmm (123)


Density functional theory data (PBE) for a geometry-optimized Mo2Se structure.

```
data_Mo2Se
_space_group_name_H-M_alt 'P 1'
_space_group_IT_number 1
_cell_length_a 5.7470
_cell_length_b 5.7470
_cell_length_c 5.8411
_cell_angle_alpha 90.00
_cell_angle_beta 90.00
_cell_angle_gamma 90.00
loop_
_space_group_symop_operation_xyz
'x,y,z'
loop_
_atom_site_label
_atom_site_type_symbol
_atom_site_fract_x
_atom_site_fract_y
_atom_site_fract_z
_atom_site_occupancy
Mo1 Mo 0.1672 0.3328 0.0000 1
Mo2 Mo 0.1672 0.6672 0.5000 1
Mo3 Mo 0.3328 0.1672 0.5000 1
Mo4 Mo 0.3328 0.8328 0.0000 1
Mo5 Mo 0.6672 0.1672 0.0000 1
Mo6 Mo 0.6672 0.8328 0.5000 1
Mo7 Mo 0.8328 0.3328 0.5000 1
Mo8 Mo 0.8328 0.6672 0.0000 1
Se1 Se 0.0000 0.0000 0.2500 1
Se2 Se 0.0000 0.0000 0.7500 1
Se3 Se 0.5000 0.5000 0.2500 1
Se4 Se 0.5000 0.5000 0.7500 1
```

Output
electronic total energy: -95.92 eV for the cell shown
distance to the lowest polymorph of the same formula: 0.483 eV per atom
mass density: 9.3 g/cm³
symmetry: I4/mcm (140)